# CsIrPb3 | the Alexandria database | PBE | relaxed
# Total magnetization ... 0.0 μB per formula unit
# Total DFT energy (no corrections) ... -3.87 eV per atom
# Crystal system ... cubic
# E_form ... 0.298 eV/atom
# Symmetry ... No. 221
# Polymorph energy (0 for the lowest one) ... 0 meV/atom
data_CsIrPb3
_chemical_formula_sum 'Cs1 Ir1 Pb3'
_cell_length_a 5.534
_cell_length_b 5.534
_cell_length_c 5.534
_cell_angle_alpha 90.00
_cell_angle_beta 90.00
_cell_angle_gamma 90.00
_space_group_name_H-M_alt 'P 1'
_space_group_IT_number 1
_space_group_name_Hall 'P 1'
loop_
_atom_site_label
_atom_site_fract_x
_atom_site_fract_y
_atom_site_fract_z
_atom_site_occupancy
Cs1 0.000 0.000 0.000 1
Ir1 0.500 0.500 0.500 1
Pb1 0.000 0.500 0.500 1
Pb2 0.500 0.000 0.500 1
Pb3 0.500 0.500 0.000 1

# Cs2IrPb2 | the Alexandria database | PBE | relaxed
# Total magnetization ... 0.0 μB per formula unit
# Total DFT energy (no corrections) ... -3.39 eV per atom
# Crystal system ... tetragonal
# E_form ... 0.211 eV/atom
# Symmetry ... No. 127
data_Cs2IrPb2
_chemical_formula_sum 'Cs4 Ir2 Pb4'
_cell_length_a 7.345
_cell_length_b 7.345
_cell_length_c 6.614
_cell_angle_alpha 90.00
_cell_angle_beta 90.00
_cell_angle_gamma 90.00
_space_group_name_H-M_alt 'P 1'
_space_group_IT_number 1
_space_group_name_Hall 'P 1'
loop_
_atom_site_label
_atom_site_fract_x
_atom_site_fract_y
_atom_site_fract_z
_atom_site_occupancy
Cs1 0.179 0.321 0.000 1
Cs2 0.321 0.821 0.000 1
Cs3 0.679 0.179 0.000 1
Cs4 0.821 0.679 0.000 1
Ir1 0.000 0.000 0.500 1
Ir2 0.500 0.500 0.500 1
Pb1 0.160 0.660 0.500 1
Pb2 0.340 0.160 0.500 1
Pb3 0.660 0.840 0.500 1
Pb4 0.840 0.340 0.500 1

Q: What is the formula in the second record?
A: Cs2IrPb2

Q: Which value of total DFT energy (no corrections) does entry 1 give?
A: -3.87 eV per atom

Q: The highest E_form belongs to which entry?
A: CsIrPb3

Q: Which of these has the highest E_form?
A: CsIrPb3